Entry 1:
## K2NdNi3F12 (PBE+U)

Data for a relaxed K2NdNi3F12 crystal.

Unit cell a=6.9297 b=6.9297 c=6.9297 alpha=65.15 beta=65.15 gamma=65.15
Closest atoms and distances in Å follow each position.
Fractional coordinates of all 18 atoms:
F1 0.1068 0.7319 0.7319  2 Ni 1.98
F2 0.8932 0.2681 0.2681  2 Ni 1.98
F3 0.5965 0.1311 0.1311  1 Ni 1.95
F4 0.8689 0.8689 0.4035  1 Ni 1.95
F5 0.4035 0.8689 0.8689  1 Ni 1.95
F6 0.7319 0.1068 0.7319  2 Ni 1.98
F7 0.8689 0.4035 0.8689  1 Ni 1.95
F8 0.2681 0.2681 0.8932  2 Ni 1.98
F9 0.7319 0.7319 0.1068  2 Ni 1.98
F10 0.1311 0.5965 0.1311  1 Ni 1.95
F11 0.2681 0.8932 0.2681  2 Ni 1.98
F12 0.1311 0.1311 0.5965  1 Ni 1.95
K1 0.3878 0.3878 0.3878  3 F 2.60
K2 0.6122 0.6122 0.6122  3 F 2.60
Ni1 0.5000 0.0000 0.0000  6 F 1.95-1.98
Ni2 0.0000 0.5000 0.0000  6 F 1.95-1.98
Ni3 0.0000 0.0000 0.5000  6 F 1.95-1.98
Nd1 0.0000 0.0000 0.0000  6 F 2.43

Calculated values
- Fermi-level density of states: 7.0 states/eV/cell
- M_tot: 0.2777 μB/atom
- Calculated total energy: -84.415 eV for the cell shown

***

Entry 2:
## KNdNiF6 (PBE+U)

Data for a relaxed KNdNiF6 crystal.

Unit cell a=5.8748 b=5.8748 c=10.7145 alpha=90.00 beta=90.00 gamma=120.00
Closest atoms and distances in Å follow each position.
Fractional coordinates of all 18 atoms:
Ni1 0.3333 0.6667 0.7500  6 F 2.05
Ni2 0.6667 0.3333 0.2500  6 F 2.05
F1 0.3554 0.3877 0.8551  1 Ni 2.05
F2 0.9677 0.6123 0.3551  1 Ni 2.05
F3 0.3877 0.3554 0.3551  1 Ni 2.05
F4 0.6446 0.6123 0.1449  1 Ni 2.05
F5 0.9677 0.3554 0.1449  1 Ni 2.05
F6 0.3554 0.9677 0.6449  1 Ni 2.05
F7 0.6446 0.0323 0.3551  1 Ni 2.05
F8 0.0323 0.3877 0.6449  1 Ni 2.05
F9 0.3877 0.0323 0.1449  1 Ni 2.05
F10 0.0323 0.6446 0.8551  1 Ni 2.05
F11 0.6123 0.6446 0.6449  1 Ni 2.05
F12 0.6123 0.9677 0.8551  1 Ni 2.05
Nd1 0.6667 0.3333 0.7500  6 F 2.30
Nd2 0.3333 0.6667 0.2500  6 F 2.30
K1 0.0000 0.0000 0.5000  6 F 2.68
K2 0.0000 0.0000 0.0000  6 F 2.68

Calculated values
- Fermi-level density of states: 0.0 states/eV/cell
- M_tot: 0.2111 μB/atom
- Calculated total energy: -95.513 eV for the cell shown